Material: CoRe2
Method: DFT, SCAN
State: PBEsol geometry

abc: 4.1751 4.1751 2.5594
angles: 90.00 90.00 90.00
With the nearest neighbours (Å) after each atom.
Space group P4/mmm (No. 123)
Asymmetric unit:
Co 0.0000 0.0000 0.0000 x1  8 Re 2.45, 2 Co 2.56
Re 0.0000 0.5000 0.5000 x2  4 Co 2.45, 2 Re 2.56

Summary:
Calculated formation energy ... 984 meV/atom
Mass density ... 16.055 g/cm3
Offset from the most stable computed form ... 939 meV/atom
Calculated total energy ... -52.18 eV per atom
Calculated volume ... 14.87 Å³ per atom